# Y7Te2Au2 GGA-PBEsol relaxed
# **SG**: Imm2 (44)
# **Formation energy (no corrections)**: -85.7 kJ/mol of atoms
data_Y7Te2Au2
_chemical_formula_sum 'Y7 Te2 Au2'
_space_group_name_H-M_alt 'P 1'
_space_group_IT_number 1
_cell_length_a 9.315
_cell_length_b 9.315
_cell_length_c 9.315
_cell_angle_alpha 155.25
_cell_angle_beta 67.89
_cell_angle_gamma 117.92
loop_
_space_group_symop_operation_xyz
'x,y,z'
loop_
_atom_site_label
_atom_site_type_symbol
_atom_site_fract_x
_atom_site_fract_y
_atom_site_fract_z
Y1 Y 0.000 0.000 0.000
Y2 Y 0.062 0.378 0.684
Y3 Y 0.101 0.741 0.360
Y4 Y 0.381 0.741 0.640
Y5 Y 0.462 0.587 0.875
Y6 Y 0.695 0.378 0.316
Y7 Y 0.713 0.587 0.125
Te1 Te 0.338 0.338 0.000
Te2 Te 0.741 0.241 0.500
Au1 Au 0.314 0.077 0.237
Au2 Au 0.840 0.077 0.763